Entry 1:
A geometry-optimized Sm2BeZnAu6 structure, computed with PBE.

It has space group P-1 (No. 2), with a = 6.163 Å, b = 6.245 Å, c = 7.166 Å, α = 64.93°, β = 89.88° and γ = 60.64°. The inequivalent atoms are Sm at (0.240, 0.021, 0.304), Be at (0.500, 0.500, 0.000), Zn at (0.000, 0.500, 0.500), Au at (0.170, 0.636, 0.154), Au at (0.267, 0.965, 0.745) and Au at (0.307, 0.366, 0.843).

Its uncorrected energy is -3.856 eV/atom. As for the energy of formation: -0.446 eV per atom. Its crystal system is triclinic.



Entry 2:
A geometry-optimized SmBeZn2Au4 structure, computed with PBE.

It has space group R-3m (No. 166, hexagonal axes), with a = 4.4734 Å, b = 4.4734 Å, c = 24.9303 Å, α = 90.00°, β = 90.00° and γ = 120.00°. The inequivalent atoms are Sm at (0.0000, 0.0000, 0.0000), Be at (0.0000, 0.0000, 0.5000), Zn at (0.0000, 0.0000, 0.2469), Au at (0.0000, 0.0000, 0.1358) and Au at (0.0000, 0.0000, 0.4024).

Its uncorrected energy is -3.387 eV/atom. As for the energy of formation: -0.374 eV per atom. Its crystal system is trigonal.



Entry 3:
A geometry-optimized BeSn2Au6 structure, computed with PBE.

It has space group P2/m (No. 10), with a = 7.105 Å, b = 3.874 Å, c = 7.627 Å, α = 90.00°, β = 117.71° and γ = 90.00°. The inequivalent atoms are Be at (0.000, 0.000, 0.000), Sn at (0.301, 0.500, 0.601), Au at (0.055, 0.000, 0.702), Au at (0.217, 0.500, 0.000) and Au at (0.351, 0.000, 0.299).

Its uncorrected energy is -3.544 eV/atom. As for the energy of formation: -0.055 eV per atom. Its crystal system is monoclinic.



Entry 4:
A geometry-optimized BeSn2Au structure, computed with PBE.

It has space group I-42d (No. 122), with a = 4.613 Å, b = 4.613 Å, c = 16.795 Å, α = 90.00°, β = 90.00° and γ = 90.00°. The inequivalent atoms are Be at (0.000, 0.000, 0.000), Sn at (0.222, 0.250, 0.125) and Au at (0.000, 0.000, 0.500).

Its uncorrected energy is -3.503 eV/atom. As for the energy of formation: 0.250 eV per atom. Its crystal system is tetragonal.



Entry 5:
A geometry-optimized BeSn2Au2 structure, computed with PBE.

It has space group I4/mmm (No. 139), with a = 3.781 Å, b = 3.781 Å, c = 15.645 Å, α = 90.00°, β = 90.00° and γ = 90.00°. The inequivalent atoms are Be at (0.000, 0.000, 0.000), Sn at (0.000, 0.000, 0.403) and Au at (0.000, 0.500, 0.250).

Its uncorrected energy is -3.279 eV/atom. As for the energy of formation: 0.378 eV per atom. Its crystal system is tetragonal. Its energy above the most stable polymorph in this dataset is 274 meV per atom.



Entry 6:
A geometry-optimized BeSn3Au structure, computed with PBE.

It has space group Pm-3m (No. 221), with a = 4.903 Å, b = 4.903 Å, c = 4.903 Å, α = 90.00°, β = 90.00° and γ = 90.00°. The inequivalent atoms are Be at (0.000, 0.000, 0.000), Sn at (0.000, 0.000, 0.500) and Au at (0.500, 0.500, 0.500).

Its uncorrected energy is -3.461 eV/atom. As for the energy of formation: 0.341 eV per atom. Its crystal system is cubic. Its energy above the most stable polymorph in this dataset is 0 meV per atom.



Look up the energy of formation of the sixth one.
0.341 eV per atom